A crystal of ScInMo2 relaxed with PBEsol. Source: Alexandria, functional SCAN.

abc: 2.9469 2.9469 28.5882
angles: 90.00 90.00 120.00
Space group R-3m (No. 166, hexagonal axes)
Unique sites:
Sc 0.0000 0.0000 0.0000 (multiplicity 3)
In 0.0000 0.0000 0.5000 (multiplicity 3)
Mo 0.0000 0.0000 0.2495 (multiplicity 6)

Summary:
Energy of formation: 0.453 eV per atom
M_tot: 0.00 μB per formula unit
E: -28.90 eV/atom
Calculated volume: 17.918 A^3/atom